Entry 1:
The following is a PBE calculation of a relaxed SrReSeBr2 crystal, from the Alexandria database.

Cell and atoms, written as CIF:
```
data_SrReSeBr2
_cell_length_a 5.747
_cell_length_b 5.747
_cell_length_c 6.101
_cell_angle_alpha 90.00
_cell_angle_beta 90.00
_cell_angle_gamma 90.00
_symmetry_space_group_name_H-M 'P 4/m m m'
_symmetry_Int_Tables_number 123
_symmetry_space_group_name_Hall '-P 4 2'
loop_
_atom_site_label
_atom_site_type_symbol
_atom_site_fract_x
_atom_site_fract_y
_atom_site_fract_z
_atom_site_occupancy
Sr1 Sr 0.000 0.000 0.000 1
Re1 Re 0.500 0.500 0.500 1
Se1 Se 0.000 0.000 0.500 1
Br1 Br 0.000 0.500 0.000 1
```

total DFT energy (no corrections): -18.556 eV per cell
total magnetic moment: 4.99 Bohr magnetons per cell
ρ: 4.22 g/cm3
E above lowest polymorph: 799 meV per atom
formation energy (no corrections): 0.4808 eV per atom

---

Entry 2:
The following is a PBE calculation of a relaxed SrCuI2 crystal, from the Alexandria database.

Cell and atoms, written as CIF:
```
data_SrCuI2
_cell_length_a 7.186
_cell_length_b 7.186
_cell_length_c 12.327
_cell_angle_alpha 90.00
_cell_angle_beta 90.00
_cell_angle_gamma 90.00
_symmetry_space_group_name_H-M 'I -4 2 d'
_symmetry_Int_Tables_number 122
_symmetry_space_group_name_Hall 'I -4 2bw'
loop_
_atom_site_label
_atom_site_type_symbol
_atom_site_fract_x
_atom_site_fract_y
_atom_site_fract_z
_atom_site_occupancy
Sr1 Sr 0.000 0.000 0.000 1
Cu1 Cu 0.000 0.000 0.500 1
I1 I 0.171 0.250 0.625 1
```

total DFT energy (no corrections): -43.007 eV per cell
total magnetic moment: 3.12 Bohr magnetons per cell
ρ: 4.23 g/cm3
E above lowest polymorph: 83 meV per atom
formation energy (no corrections): -0.4684 eV per atom

---

Entry 3:
The following is a PBE calculation of a relaxed Pm2Sm3Y8 crystal, from the Alexandria database.

Cell and atoms, written as CIF:
```
data_Pm2Sm3Y8
_cell_length_a 14.895
_cell_length_b 9.237
_cell_length_c 6.919
_cell_angle_alpha 90.00
_cell_angle_beta 108.44
_cell_angle_gamma 90.00
_symmetry_space_group_name_H-M 'C 1 2/m 1'
_symmetry_Int_Tables_number 12
_symmetry_space_group_name_Hall '-C 2y'
loop_
_atom_site_label
_atom_site_type_symbol
_atom_site_fract_x
_atom_site_fract_y
_atom_site_fract_z
_atom_site_occupancy
Pm1 Pm 0.213 0.000 0.423 1
Sm1 Sm 0.000 0.000 0.000 1
Sm2 Sm 0.000 0.173 0.500 1
Y1 Y 0.085 0.500 0.726 1
Y2 Y 0.118 0.320 0.179 1
Y3 Y 0.191 0.000 0.896 1
```

total DFT energy (no corrections): -144.817 eV per cell
total magnetic moment: 0.00 Bohr magnetons per cell
ρ: 5.34 g/cm3
E above lowest polymorph: 0 meV per atom
ΔE_f: 228 meV per atom

---

Entry 4:
The following is a PBE calculation of a relaxed FeTcW2N crystal, from the Alexandria database.

Cell and atoms, written as CIF:
```
data_FeTcW2N
_cell_length_a 4.111
_cell_length_b 4.111
_cell_length_c 3.769
_cell_angle_alpha 90.00
_cell_angle_beta 90.00
_cell_angle_gamma 90.00
_symmetry_space_group_name_H-M 'P 4/m m m'
_symmetry_Int_Tables_number 123
_symmetry_space_group_name_Hall '-P 4 2'
loop_
_atom_site_label
_atom_site_type_symbol
_atom_site_fract_x
_atom_site_fract_y
_atom_site_fract_z
_atom_site_occupancy
Fe1 Fe 0.000 0.000 0.000 1
Tc1 Tc 0.500 0.500 0.000 1
W1 W 0.000 0.500 0.500 1
N1 N 0.000 0.000 0.500 1
```

total DFT energy (no corrections): -53.126 eV per cell
total magnetic moment: 0.00 Bohr magnetons per cell
ρ: 13.96 g/cm3
formation energy (no corrections): -0.0131 eV per atom

---

Entry 5:
The following is a PBE calculation of a relaxed Er2Al6Ru crystal, from the Alexandria database.

Cell and atoms, written as CIF:
```
data_Er2Al6Ru
_cell_length_a 5.7052
_cell_length_b 5.7052
_cell_length_c 5.9676
_cell_angle_alpha 90.00
_cell_angle_beta 90.00
_cell_angle_gamma 120.00
_symmetry_space_group_name_H-M 'P -3 m 1'
_symmetry_Int_Tables_number 164
_symmetry_space_group_name_Hall '-P 3 2"'
loop_
_atom_site_label
_atom_site_type_symbol
_atom_site_fract_x
_atom_site_fract_y
_atom_site_fract_z
_atom_site_occupancy
Er1 Er 0.3333 0.6667 0.3710 1
Al1 Al 0.1706 0.3412 0.8186 1
Ru1 Ru 0.0000 0.0000 0.5000 1
```

total DFT energy (no corrections): -45.107 eV per cell
total magnetic moment: 0.00 Bohr magnetons per cell
ρ: 5.90 g/cm3
ΔE_f: -472 meV per atom

---

Entry 6:
The following is a PBE calculation of a relaxed LaZn2Rh2 crystal, from the Alexandria database.

Cell and atoms, written as CIF:
```
data_LaZn2Rh2
_cell_length_a 7.543
_cell_length_b 7.543
_cell_length_c 3.047
_cell_angle_alpha 90.00
_cell_angle_beta 90.00
_cell_angle_gamma 90.00
_symmetry_space_group_name_H-M 'P 4/m b m'
_symmetry_Int_Tables_number 127
_symmetry_space_group_name_Hall '-P 4 2ab'
loop_
_atom_site_label
_atom_site_type_symbol
_atom_site_fract_x
_atom_site_fract_y
_atom_site_fract_z
_atom_site_occupancy
La1 La 0.000 0.000 0.000 1
Zn1 Zn 0.118 0.382 0.000 1
Rh1 Rh 0.176 0.676 0.500 1
```

total DFT energy (no corrections): -48.875 eV per cell
total magnetic moment: 0.00 Bohr magnetons per cell
ρ: 9.11 g/cm3
E above lowest polymorph: 89 meV per atom
ΔE_f: -452 meV per atom

---

Entry 7:
The following is a PBE calculation of a relaxed TaBi crystal, from the Alexandria database.

Cell and atoms, written as CIF:
```
data_TaBi
_cell_length_a 5.822
_cell_length_b 5.822
_cell_length_c 5.822
_cell_angle_alpha 90.00
_cell_angle_beta 90.00
_cell_angle_gamma 90.00
_symmetry_space_group_name_H-M 'F m -3 m'
_symmetry_Int_Tables_number 225
_symmetry_space_group_name_Hall '-F 4 2 3'
loop_
_atom_site_label
_atom_site_type_symbol
_atom_site_fract_x
_atom_site_fract_y
_atom_site_fract_z
_atom_site_occupancy
Ta1 Ta 0.000 0.000 0.000 1
Bi1 Bi 0.000 0.000 0.500 1
```

total DFT energy (no corrections): -53.969 eV per cell
total magnetic moment: 0.00 Bohr magnetons per cell
ρ: 13.13 g/cm3
ΔE_f: 1121 meV per atom

---

Entry 8:
The following is a PBE calculation of a relaxed PmPa3 crystal, from the Alexandria database.

Cell and atoms, written as CIF:
```
data_PmPa3
_cell_length_a 4.737
_cell_length_b 4.737
_cell_length_c 4.737
_cell_angle_alpha 90.00
_cell_angle_beta 90.00
_cell_angle_gamma 90.00
_symmetry_space_group_name_H-M 'P m -3 m'
_symmetry_Int_Tables_number 221
_symmetry_space_group_name_Hall '-P 4 2 3'
loop_
_atom_site_label
_atom_site_type_symbol
_atom_site_fract_x
_atom_site_fract_y
_atom_site_fract_z
_atom_site_occupancy
Pm1 Pm 0.000 0.000 0.000 1
Pa1 Pa 0.000 0.500 0.500 1
```

total DFT energy (no corrections): -32.295 eV per cell
total magnetic moment: 0.00 Bohr magnetons per cell
ρ: 13.10 g/cm3
E above lowest polymorph: 22 meV per atom
ΔE_f: 236 meV per atom